P | DFT (PBE-GGA) results for a relaxed Er2ScSn crystal.

Cell and atoms, written as CIF:
```
data_Er2ScSn
_chemical_formula_sum 'Er2 Sc1 Sn1'
_symmetry_space_group_name_H-M 'P 4/m m m'
_symmetry_Int_Tables_number 123
_symmetry_space_group_name_Hall '-P 4 2'
_cell_length_a 4.684
_cell_length_b 4.684
_cell_length_c 4.677
_cell_angle_alpha 90.00
_cell_angle_beta 90.00
_cell_angle_gamma 90.00
loop_
_atom_site_label
_atom_site_type_symbol
_atom_site_fract_x
_atom_site_fract_y
_atom_site_fract_z
Er1 Er 0.000 0.500 0.000
Sc1 Sc 0.000 0.000 0.500
Sn1 Sn 0.500 0.500 0.500
```

---

Q | DFT (PBE-GGA) results for a relaxed Er2ScSn crystal.

Cell and atoms, written as CIF:
```
data_Er2ScSn
_chemical_formula_sum 'Er6 Sc3 Sn3'
_symmetry_space_group_name_H-M 'R -3 m'
_symmetry_Int_Tables_number 166
_symmetry_space_group_name_Hall '-R 3 2"'
_cell_length_a 3.3798
_cell_length_b 3.3798
_cell_length_c 34.2817
_cell_angle_alpha 90.00
_cell_angle_beta 90.00
_cell_angle_gamma 120.00
loop_
_atom_site_label
_atom_site_type_symbol
_atom_site_fract_x
_atom_site_fract_y
_atom_site_fract_z
Er1 Er 0.0000 0.0000 0.0921
Sc1 Sc 0.0000 0.0000 0.0000
Sn1 Sn 0.0000 0.0000 0.5000
```

---

Relative energies in meV/atom: P 0; Q 453

---

P | DFT (PBE-GGA) results for a relaxed TbEr6Sc8 crystal.

Cell and atoms, written as CIF:
```
data_TbEr6Sc8
_chemical_formula_sum 'Tb3 Er18 Sc24'
_symmetry_space_group_name_H-M 'R -3'
_symmetry_Int_Tables_number 148
_symmetry_space_group_name_Hall '-R 3'
_cell_length_a 8.5476
_cell_length_b 8.5476
_cell_length_c 19.7143
_cell_angle_alpha 90.00
_cell_angle_beta 90.00
_cell_angle_gamma 120.00
loop_
_atom_site_label
_atom_site_type_symbol
_atom_site_fract_x
_atom_site_fract_y
_atom_site_fract_z
Tb1 Tb 0.0000 0.0000 0.0000
Er1 Er 0.0653 0.8161 0.7100
Sc1 Sc 0.0000 0.0000 0.4256
Sc2 Sc 0.0802 0.5255 0.8095
```

---

Q | DFT (PBE-GGA) results for a relaxed TbEr6Sc8 crystal.

Cell and atoms, written as CIF:
```
data_TbEr6Sc8
_chemical_formula_sum 'Tb3 Er18 Sc24'
_symmetry_space_group_name_H-M 'R -3'
_symmetry_Int_Tables_number 148
_symmetry_space_group_name_Hall '-R 3'
_cell_length_a 5.8902
_cell_length_b 5.8902
_cell_length_c 40.8507
_cell_angle_alpha 90.00
_cell_angle_beta 90.00
_cell_angle_gamma 120.00
loop_
_atom_site_label
_atom_site_type_symbol
_atom_site_fract_x
_atom_site_fract_y
_atom_site_fract_z
Tb1 Tb 0.0000 0.0000 0.0000
Er1 Er 0.0000 0.3349 0.9311
Sc1 Sc 0.0000 0.0000 0.3333
Sc2 Sc 0.0000 0.3330 0.1358
```

---

Relative energies in meV/atom: P 105; Q 0

---

P | DFT (PBE-GGA) results for a relaxed Tb4Er5Sc2 crystal.

Cell and atoms, written as CIF:
```
data_Tb4Er5Sc2
_chemical_formula_sum 'Tb8 Er10 Sc4'
_symmetry_space_group_name_H-M 'I m m m'
_symmetry_Int_Tables_number 71
_symmetry_space_group_name_Hall '-I 2 2'
_cell_length_a 3.435
_cell_length_b 9.030
_cell_length_c 22.282
_cell_angle_alpha 90.00
_cell_angle_beta 90.00
_cell_angle_gamma 90.00
loop_
_atom_site_label
_atom_site_type_symbol
_atom_site_fract_x
_atom_site_fract_y
_atom_site_fract_z
Tb1 Tb 0.000 0.000 0.099
Tb2 Tb 0.000 0.304 0.500
Er1 Er 0.000 0.203 0.348
Er2 Er 0.000 0.500 0.000
Sc1 Sc 0.000 0.000 0.230
```

---

Q | DFT (PBE-GGA) results for a relaxed Tb4Er5Sc2 crystal.

Cell and atoms, written as CIF:
```
data_Tb4Er5Sc2
_chemical_formula_sum 'Tb4 Er5 Sc2'
_symmetry_space_group_name_H-M 'P -1'
_symmetry_Int_Tables_number 2
_cell_length_a 3.527
_cell_length_b 8.533
_cell_length_c 11.592
_cell_angle_alpha 90.00
_cell_angle_beta 90.03
_cell_angle_gamma 101.92
loop_
_symmetry_equiv_pos_as_xyz
'x,y,z'
'-x,-y,-z'
loop_
_atom_site_label
_atom_site_type_symbol
_atom_site_fract_x
_atom_site_fract_y
_atom_site_fract_z
Tb1 Tb 0.150 0.301 0.293
Tb2 Tb 0.329 0.659 0.442
Er1 Er 0.000 0.000 0.500
Er2 Er 0.352 0.705 0.973
Er3 Er 0.475 0.952 0.227
Sc1 Sc 0.196 0.390 0.798
```

---

Relative energies in meV/atom: P 173; Q 0

---

P | DFT (PBE-GGA) results for a relaxed TbEr8Sc6 crystal.

Cell and atoms, written as CIF:
```
data_TbEr8Sc6
_chemical_formula_sum 'Tb3 Er24 Sc18'
_symmetry_space_group_name_H-M 'R -3'
_symmetry_Int_Tables_number 148
_symmetry_space_group_name_Hall '-R 3'
_cell_length_a 8.6364
_cell_length_b 8.6364
_cell_length_c 19.9044
_cell_angle_alpha 90.00
_cell_angle_beta 90.00
_cell_angle_gamma 120.00
loop_
_atom_site_label
_atom_site_type_symbol
_atom_site_fract_x
_atom_site_fract_y
_atom_site_fract_z
Tb1 Tb 0.0000 0.0000 0.0000
Er1 Er 0.0000 0.0000 0.4213
Er2 Er 0.0809 0.5596 0.8076
Sc1 Sc 0.0463 0.2393 0.7056
```

---

Q | DFT (PBE-GGA) results for a relaxed TbEr8Sc6 crystal.

Cell and atoms, written as CIF:
```
data_TbEr8Sc6
_chemical_formula_sum 'Tb3 Er24 Sc18'
_symmetry_space_group_name_H-M 'R -3'
_symmetry_Int_Tables_number 148
_symmetry_space_group_name_Hall '-R 3'
_cell_length_a 9.3052
_cell_length_b 9.3052
_cell_length_c 17.1989
_cell_angle_alpha 90.00
_cell_angle_beta 90.00
_cell_angle_gamma 120.00
loop_
_atom_site_label
_atom_site_type_symbol
_atom_site_fract_x
_atom_site_fract_y
_atom_site_fract_z
Tb1 Tb 0.0000 0.0000 0.0000
Er1 Er 0.0000 0.0000 0.4094
Er2 Er 0.0536 0.8113 0.1744
Sc1 Sc 0.0302 0.7377 0.6799
```

---

Relative energies in meV/atom: P 0; Q 21

---

P | DFT (PBE-GGA) results for a relaxed Tb2Er2Sc5 crystal.

Cell and atoms, written as CIF:
```
data_Tb2Er2Sc5
_chemical_formula_sum 'Tb4 Er4 Sc10'
_symmetry_space_group_name_H-M 'C 1 2/m 1'
_symmetry_Int_Tables_number 12
_cell_length_a 16.535
_cell_length_b 3.480
_cell_length_c 8.893
_cell_angle_alpha 90.00
_cell_angle_beta 103.89
_cell_angle_gamma 90.00
loop_
_symmetry_equiv_pos_as_xyz
'x,y,z'
'-x,-y,-z'
'-x,y,-z'
'x,-y,z'
'x+1/2,y+1/2,z'
'-x+1/2,-y+1/2,-z'
'-x+1/2,y+1/2,-z'
'x+1/2,-y+1/2,z'
loop_
_atom_site_label
_atom_site_type_symbol
_atom_site_fract_x
_atom_site_fract_y
_atom_site_fract_z
Tb1 Tb 0.190 0.000 0.267
Er1 Er 0.020 0.500 0.323
Sc1 Sc 0.000 0.000 0.000
Sc2 Sc 0.139 0.000 0.613
Sc3 Sc 0.163 0.500 0.932
```

---

Q | DFT (PBE-GGA) results for a relaxed Tb2Er2Sc5 crystal.

Cell and atoms, written as CIF:
```
data_Tb2Er2Sc5
_chemical_formula_sum 'Tb8 Er8 Sc20'
_symmetry_space_group_name_H-M 'I m a 2'
_symmetry_Int_Tables_number 46
_cell_length_a 11.650
_cell_length_b 8.299
_cell_length_c 10.440
_cell_angle_alpha 90.00
_cell_angle_beta 90.00
_cell_angle_gamma 90.00
loop_
_symmetry_equiv_pos_as_xyz
'x,y,z'
'-x,-y,z'
'-x+1/2,y,z'
'x+1/2,-y,z'
'x+1/2,y+1/2,z+1/2'
'-x+1/2,-y+1/2,z+1/2'
'-x,y+1/2,z+1/2'
'x,-y+1/2,z+1/2'
loop_
_atom_site_label
_atom_site_type_symbol
_atom_site_fract_x
_atom_site_fract_y
_atom_site_fract_z
Tb1 Tb 0.000 0.000 0.000
Tb2 Tb 0.250 0.105 0.122
Er1 Er 0.106 0.127 0.432
Sc1 Sc 0.100 0.693 0.745
Sc2 Sc 0.125 0.063 0.736
Sc3 Sc 0.250 0.713 0.003
```

---

Relative energies in meV/atom: P 0; Q 145

---

P | DFT (PBE-GGA) results for a relaxed TbErSc2 crystal.

Cell and atoms, written as CIF:
```
data_TbErSc2
_chemical_formula_sum 'Tb1 Er1 Sc2'
_symmetry_space_group_name_H-M 'P -3 m 1'
_symmetry_Int_Tables_number 164
_symmetry_space_group_name_Hall '-P 3 2"'
_cell_length_a 3.4161
_cell_length_b 3.4161
_cell_length_c 10.9193
_cell_angle_alpha 90.00
_cell_angle_beta 90.00
_cell_angle_gamma 120.00
loop_
_atom_site_label
_atom_site_type_symbol
_atom_site_fract_x
_atom_site_fract_y
_atom_site_fract_z
Tb1 Tb 0.0000 0.0000 0.0000
Er1 Er 0.0000 0.0000 0.5000
Sc1 Sc 0.3333 0.6667 0.2510
```

---

Q | DFT (PBE-GGA) results for a relaxed TbErSc2 crystal.

Cell and atoms, written as CIF:
```
data_TbErSc2
_chemical_formula_sum 'Tb4 Er4 Sc8'
_symmetry_space_group_name_H-M 'F m -3 m'
_symmetry_Int_Tables_number 225
_symmetry_space_group_name_Hall '-F 4 2 3'
_cell_length_a 7.631
_cell_length_b 7.631
_cell_length_c 7.631
_cell_angle_alpha 90.00
_cell_angle_beta 90.00
_cell_angle_gamma 90.00
loop_
_atom_site_label
_atom_site_type_symbol
_atom_site_fract_x
_atom_site_fract_y
_atom_site_fract_z
Tb1 Tb 0.000 0.000 0.000
Er1 Er 0.000 0.000 0.500
Sc1 Sc 0.250 0.250 0.250
```

---

Relative energies in meV/atom: P 0; Q 47

---

P | DFT (PBE-GGA) results for a relaxed Tb3ErSc3 crystal.

Cell and atoms, written as CIF:
```
data_Tb3ErSc3
_chemical_formula_sum 'Tb6 Er2 Sc6'
_symmetry_space_group_name_H-M 'P 63/m'
_symmetry_Int_Tables_number 176
_symmetry_space_group_name_Hall '-P 6c'
_cell_length_a 9.2195
_cell_length_b 9.2195
_cell_length_c 5.4559
_cell_angle_alpha 90.00
_cell_angle_beta 90.00
_cell_angle_gamma 120.00
loop_
_atom_site_label
_atom_site_type_symbol
_atom_site_fract_x
_atom_site_fract_y
_atom_site_fract_z
Tb1 Tb 0.0478 0.2459 0.2500
Er1 Er 0.3333 0.6667 0.2500
Sc1 Sc 0.0959 0.4817 0.7500
```

---

Q | DFT (PBE-GGA) results for a relaxed Tb3ErSc3 crystal.

Cell and atoms, written as CIF:
```
data_Tb3ErSc3
_chemical_formula_sum 'Tb18 Er6 Sc18'
_symmetry_space_group_name_H-M 'R -3'
_symmetry_Int_Tables_number 148
_symmetry_space_group_name_Hall '-R 3'
_cell_length_a 8.3059
_cell_length_b 8.3059
_cell_length_c 20.8404
_cell_angle_alpha 90.00
_cell_angle_beta 90.00
_cell_angle_gamma 120.00
loop_
_atom_site_label
_atom_site_type_symbol
_atom_site_fract_x
_atom_site_fract_y
_atom_site_fract_z
Tb1 Tb 0.0500 0.4486 0.3819
Er1 Er 0.0000 0.0000 0.1529
Sc1 Sc 0.0056 0.2269 0.5565
```

---

Relative energies in meV/atom: P 0; Q 160

---

P | DFT (PBE-GGA) results for a relaxed Tb2ErSc2 crystal.

Cell and atoms, written as CIF:
```
data_Tb2ErSc2
_chemical_formula_sum 'Tb8 Er4 Sc8'
_symmetry_space_group_name_H-M 'I m m a'
_symmetry_Int_Tables_number 74
_symmetry_space_group_name_Hall '-I 2b 2'
_cell_length_a 5.602
_cell_length_b 11.272
_cell_length_c 9.405
_cell_angle_alpha 90.00
_cell_angle_beta 90.00
_cell_angle_gamma 90.00
loop_
_atom_site_label
_atom_site_type_symbol
_atom_site_fract_x
_atom_site_fract_y
_atom_site_fract_z
Tb1 Tb 0.000 0.076 0.161
Er1 Er 0.000 0.250 0.855
Sc1 Sc 0.000 0.114 0.553
```

---

Q | DFT (PBE-GGA) results for a relaxed Tb2ErSc2 crystal.

Cell and atoms, written as CIF:
```
data_Tb2ErSc2
_chemical_formula_sum 'Tb4 Er2 Sc4'
_symmetry_space_group_name_H-M 'A m m 2'
_symmetry_Int_Tables_number 38
_cell_length_a 3.372
_cell_length_b 5.510
_cell_length_c 15.802
_cell_angle_alpha 90.00
_cell_angle_beta 90.00
_cell_angle_gamma 90.00
loop_
_symmetry_equiv_pos_as_xyz
'x,y,z'
'-x,-y,z'
'-x,y,z'
'x,-y,z'
'x,y+1/2,z+1/2'
'-x,-y+1/2,z+1/2'
'-x,y+1/2,z+1/2'
'x,-y+1/2,z+1/2'
loop_
_atom_site_label
_atom_site_type_symbol
_atom_site_fract_x
_atom_site_fract_y
_atom_site_fract_z
Tb1 Tb 0.000 0.000 0.000
Tb2 Tb 0.500 0.000 0.199
Er1 Er 0.000 0.000 0.626
Sc1 Sc 0.000 0.000 0.384
Sc2 Sc 0.500 0.000 0.814
```

---

Relative energies in meV/atom: P 31; Q 0

---

P | DFT (PBE-GGA) results for a relaxed Tb5Er2Sc4 crystal.

Cell and atoms, written as CIF:
```
data_Tb5Er2Sc4
_chemical_formula_sum 'Tb5 Er2 Sc4'
_symmetry_space_group_name_H-M 'P 1 2/m 1'
_symmetry_Int_Tables_number 10
_cell_length_a 8.696
_cell_length_b 3.501
_cell_length_c 10.750
_cell_angle_alpha 90.00
_cell_angle_beta 94.47
_cell_angle_gamma 90.00
loop_
_symmetry_equiv_pos_as_xyz
'x,y,z'
'-x,-y,-z'
'-x,y,-z'
'x,-y,z'
loop_
_atom_site_label
_atom_site_type_symbol
_atom_site_fract_x
_atom_site_fract_y
_atom_site_fract_z
Tb1 Tb 0.000 0.000 0.000
Tb2 Tb 0.048 0.000 0.334
Tb3 Tb 0.353 0.000 0.867
Er1 Er 0.425 0.000 0.364
Sc1 Sc 0.254 0.500 0.574
Sc2 Sc 0.299 0.500 0.130
```

---

Q | DFT (PBE-GGA) results for a relaxed Tb5Er2Sc4 crystal.

Cell and atoms, written as CIF:
```
data_Tb5Er2Sc4
_chemical_formula_sum 'Tb10 Er4 Sc8'
_symmetry_space_group_name_H-M 'C 1 2/m 1'
_symmetry_Int_Tables_number 12
_cell_length_a 11.726
_cell_length_b 6.647
_cell_length_c 10.019
_cell_angle_alpha 90.00
_cell_angle_beta 123.68
_cell_angle_gamma 90.00
loop_
_symmetry_equiv_pos_as_xyz
'x,y,z'
'-x,-y,-z'
'-x,y,-z'
'x,-y,z'
'x+1/2,y+1/2,z'
'-x+1/2,-y+1/2,-z'
'-x+1/2,y+1/2,-z'
'x+1/2,-y+1/2,z'
loop_
_atom_site_label
_atom_site_type_symbol
_atom_site_fract_x
_atom_site_fract_y
_atom_site_fract_z
Tb1 Tb 0.000 0.000 0.000
Tb2 Tb 0.159 0.271 0.667
Er1 Er 0.084 0.500 0.283
Sc1 Sc 0.091 0.000 0.365
Sc2 Sc 0.228 0.500 0.022
```

---

Relative energies in meV/atom: P 0; Q 91

---

P | DFT (PBE-GGA) results for a relaxed Tb2Er7Sc2 crystal.

Cell and atoms, written as CIF:
```
data_Tb2Er7Sc2
_chemical_formula_sum 'Tb4 Er14 Sc4'
_symmetry_space_group_name_H-M 'C 1 2/m 1'
_symmetry_Int_Tables_number 12
_cell_length_a 12.772
_cell_length_b 15.678
_cell_length_c 3.525
_cell_angle_alpha 90.00
_cell_angle_beta 98.27
_cell_angle_gamma 90.00
loop_
_symmetry_equiv_pos_as_xyz
'x,y,z'
'-x,-y,-z'
'-x,y,-z'
'x,-y,z'
'x+1/2,y+1/2,z'
'-x+1/2,-y+1/2,-z'
'-x+1/2,y+1/2,-z'
'x+1/2,-y+1/2,z'
loop_
_atom_site_label
_atom_site_type_symbol
_atom_site_fract_x
_atom_site_fract_y
_atom_site_fract_z
Tb1 Tb 0.000 0.177 0.000
Er1 Er 0.000 0.000 0.500
Er2 Er 0.151 0.323 0.655
Er3 Er 0.208 0.000 0.056
Sc1 Sc 0.090 0.500 0.256
```

---

Q | DFT (PBE-GGA) results for a relaxed Tb2Er7Sc2 crystal.

Cell and atoms, written as CIF:
```
data_Tb2Er7Sc2
_chemical_formula_sum 'Tb4 Er14 Sc4'
_symmetry_space_group_name_H-M 'I m m 2'
_symmetry_Int_Tables_number 44
_cell_length_a 3.582
_cell_length_b 17.454
_cell_length_c 10.834
_cell_angle_alpha 90.00
_cell_angle_beta 90.00
_cell_angle_gamma 90.00
loop_
_symmetry_equiv_pos_as_xyz
'x,y,z'
'-x,-y,z'
'-x,y,z'
'x,-y,z'
'x+1/2,y+1/2,z+1/2'
'-x+1/2,-y+1/2,z+1/2'
'-x+1/2,y+1/2,z+1/2'
'x+1/2,-y+1/2,z+1/2'
loop_
_atom_site_label
_atom_site_type_symbol
_atom_site_fract_x
_atom_site_fract_y
_atom_site_fract_z
Tb1 Tb 0.000 0.000 0.000
Tb2 Tb 0.000 0.500 0.193
Er1 Er 0.000 0.139 0.575
Er2 Er 0.000 0.191 0.116
Er3 Er 0.000 0.346 0.356
Er4 Er 0.000 0.500 0.855
Sc1 Sc 0.000 0.307 0.858
```

---

Relative energies in meV/atom: P 204; Q 0